Entry 1:
Compound: AcLa2Bi3
Source: Alexandria
Functional: GGA-PBE
Structure: optimized geometry

Output
* energy relative to the elements: -1.033 eV/atom
* total moment: 0.000 μB/atom
* V: 38.30 Å³ per atom
* theoretical density: 8.18 g cm⁻³
* density of states at the Fermi level: 0.12 states/eV per atom

The structure in CIF format:
```
data_AcLa2Bi3
_chemical_formula_sum 'Ac2 La4 Bi6'
_symmetry_space_group_name_H-M 'I m m m'
_symmetry_Int_Tables_number 71
_symmetry_space_group_name_Hall '-I 2 2'
_cell_length_a 4.7692
_cell_length_b 6.7441
_cell_length_c 14.2879
_cell_angle_alpha 90.00
_cell_angle_beta 90.00
_cell_angle_gamma 90.00
loop_
_atom_site_label
_atom_site_type_symbol
_atom_site_fract_x
_atom_site_fract_y
_atom_site_fract_z
Ac1 Ac 0.0000 0.0000 0.0000
La1 La 0.0000 0.0000 0.3343
Bi1 Bi 0.0000 0.5000 0.0000
Bi2 Bi 0.0000 0.5000 0.3277
```

---

Entry 2:
Compound: CsTlZn2
Source: Alexandria
Functional: GGA-PBE
Structure: optimized geometry

Output
* energy relative to the elements: 0.174 eV/atom
* polymorph energy (0 for the lowest one): 0.000 eV/atom
* total moment: 0.000 μB/atom
* V: 39.83 Å³ per atom
* theoretical density: 4.88 g cm⁻³
* density of states at the Fermi level: 0.69 states/eV per atom

The structure in CIF format:
```
data_CsTlZn2
_chemical_formula_sum 'Cs4 Tl4 Zn8'
_symmetry_space_group_name_H-M 'I 41/a m d'
_symmetry_Int_Tables_number 141
_cell_length_a 5.7317
_cell_length_b 5.7317
_cell_length_c 19.3984
_cell_angle_alpha 90.00
_cell_angle_beta 90.00
_cell_angle_gamma 90.00
loop_
_symmetry_equiv_pos_as_xyz
'x,y,z'
'-x,-y,-z'
'-y+1/4,x+3/4,z+1/4'
'y+1/4,-x+3/4,-z+1/4'
'-x+1/2,-y,z+1/2'
'x+1/2,y,-z+1/2'
'y+1/4,-x+1/4,z+3/4'
'-y+1/4,x+1/4,-z+3/4'
'x,-y,-z'
'-x,y,z'
'-y+1/4,-x+1/4,-z+3/4'
'y+1/4,x+1/4,z+3/4'
'-x+1/2,y,-z+1/2'
'x+1/2,-y,z+1/2'
'y+1/4,x+3/4,-z+1/4'
'-y+1/4,-x+3/4,z+1/4'
'x+1/2,y+1/2,z+1/2'
'-x+1/2,-y+1/2,-z+1/2'
'-y+3/4,x+1/4,z+3/4'
'y+3/4,-x+1/4,-z+3/4'
'-x,-y+1/2,z'
'x,y+1/2,-z'
'y+3/4,-x+3/4,z+1/4'
'-y+3/4,x+3/4,-z+1/4'
'x+1/2,-y+1/2,-z+1/2'
'-x+1/2,y+1/2,z+1/2'
'-y+3/4,-x+3/4,-z+1/4'
'y+3/4,x+3/4,z+1/4'
'-x,y+1/2,-z'
'x,-y+1/2,z'
'y+3/4,x+1/4,-z+3/4'
'-y+3/4,-x+1/4,z+3/4'
loop_
_atom_site_label
_atom_site_type_symbol
_atom_site_fract_x
_atom_site_fract_y
_atom_site_fract_z
Cs1 Cs 0.0000 0.2500 0.3750
Tl1 Tl 0.0000 0.2500 0.8750
Zn1 Zn 0.0000 0.0000 0.0000
```

---

Entry 3:
Compound: Na2ZrSe
Source: Alexandria
Functional: GGA-PBE
Structure: optimized geometry

Output
* formation energy from raw total energies: -0.15 eV/f.u.
* total moment: 0.483 μB/atom
* V: 28.01 Å³ per atom
* theoretical density: 3.20 g cm⁻³
* density of states at the Fermi level: 0.85 states/eV per atom

The structure in CIF format:
```
data_Na2ZrSe
_chemical_formula_sum 'Na8 Zr4 Se4'
_symmetry_space_group_name_H-M 'I -4 2 d'
_symmetry_Int_Tables_number 122
_symmetry_space_group_name_Hall 'I -4 2bw'
_cell_length_a 9.1938
_cell_length_b 9.1938
_cell_length_c 5.3026
_cell_angle_alpha 90.00
_cell_angle_beta 90.00
_cell_angle_gamma 90.00
loop_
_atom_site_label
_atom_site_type_symbol
_atom_site_fract_x
_atom_site_fract_y
_atom_site_fract_z
Na1 Na 0.1767 0.2500 0.1250
Zr1 Zr 0.0000 0.0000 0.5000
Se1 Se 0.0000 0.0000 0.0000
```

---

Entry 4:
Compound: NdHoPu2Se5
Source: Alexandria
Functional: GGA-PBE
Structure: optimized geometry

Output
* formation energy from raw total energies: -10.61 eV/f.u.
* total moment: 1.316 μB/atom
* V: 31.95 Å³ per atom
* theoretical density: 6.88 g cm⁻³
* density of states at the Fermi level: 3.55 states/eV per atom

The structure in CIF format:
```
data_NdHoPu2Se5
_chemical_formula_sum 'Nd1 Ho1 Pu2 Se5'
_symmetry_space_group_name_H-M 'P 4/m m m'
_symmetry_Int_Tables_number 123
_symmetry_space_group_name_Hall '-P 4 2'
_cell_length_a 5.1172
_cell_length_b 5.1172
_cell_length_c 10.9804
_cell_angle_alpha 90.00
_cell_angle_beta 90.00
_cell_angle_gamma 90.00
loop_
_atom_site_label
_atom_site_type_symbol
_atom_site_fract_x
_atom_site_fract_y
_atom_site_fract_z
Nd1 Nd 0.0000 0.0000 0.0000
Ho1 Ho 0.0000 0.0000 0.5000
Pu1 Pu 0.5000 0.5000 0.3128
Se1 Se 0.0000 0.0000 0.2491
Se2 Se 0.0000 0.5000 0.5000
Se3 Se 0.5000 0.5000 0.0000
```

---

Entry 5:
Compound: CaTb5Ag4
Source: Alexandria
Functional: GGA-PBE
Structure: optimized geometry

Output
* energy relative to the elements: -0.210 eV/atom
* total moment: 0.001 μB/atom
* V: 26.79 Å³ per atom
* theoretical density: 7.85 g cm⁻³
* density of states at the Fermi level: 0.96 states/eV per atom

The structure in CIF format:
```
data_CaTb5Ag4
_chemical_formula_sum 'Ca1 Tb5 Ag4'
_symmetry_space_group_name_H-M 'P 4/m m m'
_symmetry_Int_Tables_number 123
_symmetry_space_group_name_Hall '-P 4 2'
_cell_length_a 3.6472
_cell_length_b 3.6472
_cell_length_c 20.1394
_cell_angle_alpha 90.00
_cell_angle_beta 90.00
_cell_angle_gamma 90.00
loop_
_atom_site_label
_atom_site_type_symbol
_atom_site_fract_x
_atom_site_fract_y
_atom_site_fract_z
Ca1 Ca 0.0000 0.0000 0.0000
Tb1 Tb 0.5000 0.5000 0.1387
Tb2 Tb 0.5000 0.5000 0.3176
Tb3 Tb 0.5000 0.5000 0.5000
Ag1 Ag 0.0000 0.0000 0.2255
Ag2 Ag 0.0000 0.0000 0.4095
```

---

Entry 6:
Compound: Y2MgGa2
Source: Alexandria
Functional: GGA-PBE
Structure: optimized geometry

Output
* energy relative to the elements: -0.570 eV/atom
* total moment: 0.000 μB/atom
* V: 23.48 Å³ per atom
* theoretical density: 4.83 g cm⁻³
* density of states at the Fermi level: 0.72 states/eV per atom

The structure in CIF format:
```
data_Y2MgGa2
_chemical_formula_sum 'Y4 Mg2 Ga4'
_symmetry_space_group_name_H-M 'P 4/m b m'
_symmetry_Int_Tables_number 127
_symmetry_space_group_name_Hall '-P 4 2ab'
_cell_length_a 7.4179
_cell_length_b 7.4179
_cell_length_c 4.2676
_cell_angle_alpha 90.00
_cell_angle_beta 90.00
_cell_angle_gamma 90.00
loop_
_atom_site_label
_atom_site_type_symbol
_atom_site_fract_x
_atom_site_fract_y
_atom_site_fract_z
Y1 Y 0.1735 0.3265 0.0000
Mg1 Mg 0.0000 0.0000 0.5000
Ga1 Ga 0.1244 0.6244 0.5000
```

---

Entry 7:
Compound: MnBiB2Ru
Source: Alexandria
Functional: GGA-PBE
Structure: optimized geometry

Output
* energy relative to the elements: 1.338 eV/atom
* total moment: 0.321 μB/atom
* V: 15.44 Å³ per atom
* theoretical density: 8.32 g cm⁻³
* density of states at the Fermi level: 1.40 states/eV per atom

The structure in CIF format:
```
data_MnBiB2Ru
_chemical_formula_sum 'Mn1 Bi1 B2 Ru1'
_symmetry_space_group_name_H-M 'P 4/m m m'
_symmetry_Int_Tables_number 123
_symmetry_space_group_name_Hall '-P 4 2'
_cell_length_a 3.9070
_cell_length_b 3.9070
_cell_length_c 5.0565
_cell_angle_alpha 90.00
_cell_angle_beta 90.00
_cell_angle_gamma 90.00
loop_
_atom_site_label
_atom_site_type_symbol
_atom_site_fract_x
_atom_site_fract_y
_atom_site_fract_z
Mn1 Mn 0.0000 0.0000 0.0000
Bi1 Bi 0.0000 0.0000 0.5000
B1 B 0.0000 0.5000 0.0000
Ru1 Ru 0.5000 0.5000 0.5000
```

---

Entry 8:
Compound: NaTb2OsO8
Source: Alexandria
Functional: GGA-PBE
Structure: optimized geometry

Output
* formation energy from raw total energies: -23.15 eV/f.u.
* total moment: 0.000 μB/atom
* V: 12.76 Å³ per atom
* theoretical density: 7.15 g cm⁻³
* density of states at the Fermi level: 0.14 states/eV per atom

The structure in CIF format:
```
data_NaTb2OsO8
_chemical_formula_sum 'Na1 Tb2 Os1 O8'
_symmetry_space_group_name_H-M 'P -1'
_symmetry_Int_Tables_number 2
_cell_length_a 4.3809
_cell_length_b 5.1115
_cell_length_c 7.0306
_cell_angle_alpha 90.28
_cell_angle_beta 103.29
_cell_angle_gamma 92.15
loop_
_symmetry_equiv_pos_as_xyz
'x,y,z'
'-x,-y,-z'
loop_
_atom_site_label
_atom_site_type_symbol
_atom_site_fract_x
_atom_site_fract_y
_atom_site_fract_z
Na1 Na 0.0000 0.0000 0.0000
Tb1 Tb 0.4053 0.4859 0.7260
Os1 Os 0.0000 0.0000 0.5000
O1 O 0.1737 0.6946 0.4148
O2 O 0.2336 0.5024 0.9973
O3 O 0.2403 0.2159 0.3796
O4 O 0.3140 0.0188 0.7353
```

---

Entry 9:
Compound: Rb2SbOF6
Source: Alexandria
Functional: GGA-PBE
Structure: optimized geometry

Output
* formation energy from raw total energies: -20.22 eV/f.u.
* total moment: 0.100 μB/atom
* V: 20.29 Å³ per atom
* theoretical density: 3.46 g cm⁻³
* density of states at the Fermi level: 0.85 states/eV per atom

The structure in CIF format:
```
data_Rb2SbOF6
_chemical_formula_sum 'Rb4 Sb2 O2 F12'
_symmetry_space_group_name_H-M 'I 4/m m m'
_symmetry_Int_Tables_number 139
_symmetry_space_group_name_Hall '-I 4 2'
_cell_length_a 6.6580
_cell_length_b 6.6580
_cell_length_c 9.1549
_cell_angle_alpha 90.00
_cell_angle_beta 90.00
_cell_angle_gamma 90.00
loop_
_atom_site_label
_atom_site_type_symbol
_atom_site_fract_x
_atom_site_fract_y
_atom_site_fract_z
Rb1 Rb 0.0000 0.5000 0.2500
Sb1 Sb 0.0000 0.0000 0.0000
O1 O 0.0000 0.0000 0.5000
F1 F 0.0000 0.0000 0.2169
F2 F 0.2108 0.2108 0.0000
```